(1)
## Li2TeP (PBE)

Data for a relaxed structure of Li2TeP.

```
Li2TeP
1.0
8.5969 0.0302 0.0179
7.9836 3.1891 0.0179
7.9836 1.5501 2.7871
P Li Te
1 2 1
Direct
0.2500 0.2500 0.2500
0.9853 0.9853 0.9853
0.5147 0.5147 0.5147
0.7500 0.7500 0.7500
```

Properties
space group = R-3m
calculated total energy = -13.7 eV/f.u.
uncorrected formation energy = -0.32 eV per atom
energy above the most stable polymorph in this dataset = 0.099 eV/atom
total magnetic moment = 0.0 μB per cell

(2)
## LiTeP2 (PBE)

Data for a relaxed structure of LiTeP2.

```
LiTeP2
1.0
-5.1506 4.4420 -3.0078
-5.6480 1.3275 -4.6523
-7.0510 1.8819 -1.4311
Li P Te
1 2 1
Direct
0.7437 0.7437 0.7437
0.2661 0.2661 0.2661
0.9880 0.9880 0.9880
0.5023 0.5023 0.5023
```

Properties
space group = R3m
calculated total energy = -16.4 eV/f.u.
uncorrected formation energy = -0.13 eV per atom
total magnetic moment = 0.0 μB per cell

(3)
## Li2TeP (PBE)

Data for a relaxed structure of Li2TeP.

```
Li2TeP
1.0
1.4456 -2.9202 3.4026
-2.2673 -4.0634 0.7374
2.0620 -4.0850 -1.1205
Li P Te
2 1 1
Direct
0.7500 0.7500 0.7500
0.2500 0.2500 0.2500
0.0000 0.0000 0.0000
0.5000 0.5000 0.5000
```

Properties
space group = Fm-3m
calculated total energy = -13.5 eV/f.u.
uncorrected formation energy = -0.29 eV per atom
energy above the most stable polymorph in this dataset = 0.130 eV/atom
total magnetic moment = 0.0 μB per cell

(4)
## LiTeP2 (PBE)

Data for a relaxed structure of LiTeP2.

```
LiTeP2
1.0
3.6887 0.0000 0.0000
0.0000 4.8754 -0.0898
0.0000 1.3199 4.9201
P Li Te
2 1 1
Direct
0.0000 0.4255 0.5787
0.0000 0.0745 0.9213
0.5000 0.7500 0.7500
0.5000 0.2500 0.2500
```

Properties
space group = P2/m
calculated total energy = -16.3 eV/f.u.
uncorrected formation energy = -0.11 eV per atom
total magnetic moment = 0.0 μB per cell

(5)
## LiTeP2 (PBE)

Data for a relaxed structure of LiTeP2.

```
LiTeP2
1.0
-1.2914 -4.2911 -3.2244
2.7426 -4.7386 0.7084
-2.6569 3.6790 3.1439
Te P Li
1 2 1
Direct
0.5000 0.5000 0.0000
0.0000 0.0000 0.0000
0.2500 0.7500 0.5000
0.7500 0.2500 0.5000
```

Properties
space group = I-4m2
calculated total energy = -14.6 eV/f.u.
uncorrected formation energy = 0.33 eV per atom
total magnetic moment = 0.0 μB per cell

(6)
## LiTe2P (PBE)

Data for a relaxed structure of LiTe2P.

```
LiTe2P
1.0
1.9856 0.0000 9.5432
-0.9928 1.7196 9.5432
-0.9928 -1.7196 9.5432
P Te Li
1 2 1
Direct
0.0000 0.0000 0.0000
0.0934 0.0934 0.0934
0.9066 0.9066 0.9066
0.5000 0.5000 0.5000
```

Properties
space group = R-3m
calculated total energy = -12.9 eV/f.u.
uncorrected formation energy = 0.19 eV per atom
total magnetic moment = 0.0 μB per cell

(7)
## LiTe2P (PBE)

Data for a relaxed structure of LiTe2P.

```
LiTe2P
1.0
7.4522 0.0775 -0.0039
5.4040 5.1320 0.0039
-6.2353 -3.0807 2.6781
Te Li P
2 1 1
Direct
0.1019 0.1019 0.0000
0.3981 0.3981 0.0000
0.7500 0.2500 0.5000
0.2500 0.7500 0.5000
```

Properties
space group = Immm
calculated total energy = -14.1 eV/f.u.
uncorrected formation energy = -0.13 eV per atom
total magnetic moment = 0.0 μB per cell

(8)
## LiTe3P (PBE)

Data for a relaxed structure of LiTe3P.

```
LiTe3P
1.0
5.2996 0.0000 0.0000
0.0000 5.2996 0.0000
0.0000 0.0000 5.2996
Te P Li
3 1 1
Direct
0.0000 0.0000 0.5000
0.0000 0.5000 0.0000
0.5000 0.0000 0.0000
0.0000 0.0000 0.0000
0.5000 0.5000 0.5000
```

Properties
space group = Pm-3m
calculated total energy = -16.0 eV/f.u.
uncorrected formation energy = 0.15 eV per atom
energy above the most stable polymorph in this dataset = 0.000 eV/atom
total magnetic moment = 0.0 μB per cell

(9)
## Li4TeP (PBE)

Data for a relaxed structure of Li4TeP.

```
Li4TeP
1.0
-4.6302 -2.6373 -0.0855
0.8705 1.8320 -7.2002
4.6745 -4.9211 2.5949
Li P Te
8 2 2
Direct
0.3864 0.6802 0.9039
0.0348 0.2480 0.8991
0.5929 0.0400 0.3102
0.7839 0.7111 0.6680
0.6136 0.3198 0.0961
0.2161 0.2889 0.3320
0.9652 0.7520 0.1009
0.4071 0.9600 0.6898
0.7949 0.0121 0.0220
0.2051 0.9879 0.9780
0.3989 0.6474 0.2938
0.6011 0.3526 0.7062
```

Properties
space group = P-1
calculated total energy = -20.9 eV/f.u.
uncorrected formation energy = -0.79 eV per atom
energy above the most stable polymorph in this dataset = 0.000 eV/atom
total magnetic moment = 0.0 μB per cell

(10)
## LiTeP2 (PBE)

Data for a relaxed structure of LiTeP2.

```
LiTeP2
1.0
6.0894 -0.0108 -0.0234
5.1942 3.1782 -0.0234
-1.9902 -0.5586 4.6320
P Te Li
2 1 1
Direct
0.0055 0.0055 0.1120
0.4945 0.4945 0.3880
0.7500 0.7500 0.7500
0.2500 0.2500 0.2500
```

Properties
space group = C2/m
calculated total energy = -16.7 eV/f.u.
uncorrected formation energy = -0.22 eV per atom
total magnetic moment = 0.0 μB per cell

(11)
## LiTe2P (PBE)

Data for a relaxed structure of LiTe2P.

```
LiTe2P
1.0
-0.8227 1.5838 2.9973
-2.5985 -2.2756 0.4888
5.3990 -5.2509 4.2565
Te P Li
2 1 1
Direct
0.5000 0.5000 0.3088
0.0000 0.0000 0.9046
0.5000 0.5000 0.7808
0.0000 0.0000 0.5059
```

Properties
space group = P4mm
calculated total energy = -13.8 eV/f.u.
uncorrected formation energy = -0.04 eV per atom
total magnetic moment = 0.0 μB per cell

(12)
## LiTeP2 (PBE)

Data for a relaxed structure of LiTeP2.

```
LiTeP2
1.0
-2.9707 3.0585 2.0347
-0.0485 0.4749 4.7002
1.6696 3.9446 1.9930
P Li Te
2 1 1
Direct
0.2500 0.2500 0.2500
0.0000 0.0000 0.0000
0.5000 0.5000 0.5000
0.7500 0.7500 0.7500
```

Properties
space group = F-43m
calculated total energy = -14.4 eV/f.u.
uncorrected formation energy = 0.36 eV per atom
total magnetic moment = 0.0 μB per cell

- Which of these has the highest calculated total energy?
  number 6

- Number 9 is which compound?
  Li4TeP

- Which of these has the lowest uncorrected formation energy?
  Li4TeP